(1)
DFT (PBE) results for an optimized crystal structure of BaBiSeN2.

a = 4.579 Å, b = 4.579 Å, c = 5.715 Å
α = 90.00°, β = 90.00°, γ = 90.00°
Sites, in units of the cell vectors:
N (0.500, 0.000, 0.000)
Bi (0.000, 0.000, 0.000)
Ba (0.500, 0.500, 0.500)
Se (0.000, 0.000, 0.500)
N (0.000, 0.500, 0.000)

spin magnetization = 0.380 μB/atom
E above lowest polymorph = 0.0000 eV per atom
space group = P4/mmm, No. 123


(2)
DFT (PBE) results for an optimized crystal structure of La2NiBiN.

a = 5.374 Å, b = 5.374 Å, c = 3.884 Å
α = 90.00°, β = 90.00°, γ = 90.00°
Sites, in units of the cell vectors:
La (0.500, 0.000, 0.000)
Ni (0.000, 0.000, 0.500)
La (0.000, 0.500, 0.000)
N (0.000, 0.000, 0.000)
Bi (0.500, 0.500, 0.500)

spin magnetization = 0.045 μB/atom
space group = P4/mmm, No. 123
E_tot = -31.80 eV/cell


(3)
DFT (PBE) results for an optimized crystal structure of Be3Ag.

a = 4.413 Å, b = 4.413 Å, c = 4.413 Å
α = 90.00°, β = 90.00°, γ = 90.00°
Sites, in units of the cell vectors:
Be (0.500, 0.000, 0.250)
Be (0.500, 0.000, 0.750)
Be (0.250, 0.500, 0.000)
Ag (0.000, 0.000, 0.000)
Be (0.000, 0.250, 0.500)
Be (0.000, 0.750, 0.500)
Ag (0.500, 0.500, 0.500)
Be (0.750, 0.500, 0.000)

ΔE_f = 1.0 eV/f.u.
spin magnetization = 0.000 μB/atom
E above lowest polymorph = 0.1086 eV per atom
space group = Pm-3n, No. 223